Density functional theory data (PBE) for a relaxed structure of CsAsI3.

Unit cell a=7.338 b=7.338 c=7.338 alpha=108.08 beta=108.08 gamma=108.08
Site moments in Bohr magnetons follow the coordinates.
Atoms (fractional coordinates):
Cs  0.841  0.841  0.841  0.01
I  0.109  0.493  0.109  0.07
I  0.493  0.109  0.109  0.07
I  0.109  0.109  0.493  0.07
As  0.323  0.323  0.323  0.28

Values from the calculation:
As for the crystal system: trigonal. The value obtained for the density of states at the Fermi level is 0.08 states/eV/f.u. For the energy above the lowest structure with this stoichiometry, the calculation gives 234 meV per atom. The raw formation energy comes out at -0.477 eV per atom. The total magnetization is 1.00 μB per formula unit.